# Na5Fe2P2C2O14, optimized geometry, DFT PBE with a Hubbard U
# energy above the lowest structure with this stoichiometry	0.06	eV per formula unit
data_Na5Fe2P2C2O14
_space_group_name_H-M_alt 'P -1'
_space_group_IT_number 2
_cell_length_a 8.4549
_cell_length_b 8.5128
_cell_length_c 10.3082
_cell_angle_alpha 110.94
_cell_angle_beta 104.52
_cell_angle_gamma 103.59
loop_
_space_group_symop_operation_xyz
'x,y,z'
'-x,-y,-z'
loop_
_atom_site_label
_atom_site_fract_x
_atom_site_fract_y
_atom_site_fract_z
Na1 0.0121 0.4931 0.2609
Na2 0.2450 0.2416 0.7284
Na3 0.2540 0.9491 0.9265
Na4 0.2636 0.2483 0.2535
Na5 0.3206 0.5413 0.0800
Fe1 0.2091 0.9405 0.3532
Fe2 0.3078 0.5830 0.6514
P1 0.0459 0.8126 0.5754
P2 0.4399 0.6865 0.4148
C1 0.0238 0.7706 0.0705
C2 0.4749 0.7176 0.9364
O1 0.0127 0.2826 0.8319
O2 0.0410 0.0754 0.3293
O3 0.0773 0.3078 0.0674
O4 0.0911 0.3417 0.5728
O5 0.1472 0.7434 0.6760
O6 0.1696 0.9072 0.1238
O7 0.1740 0.9396 0.5367
O8 0.3082 0.5560 0.4460
O9 0.3129 0.6043 0.8775
O10 0.3344 0.7670 0.3255
O11 0.4154 0.1643 0.4351
O12 0.4196 0.2530 0.9372
O13 0.4757 0.2011 0.1412
O14 0.4812 0.4236 0.6883